[1]
Material: TaTe6Au
Method: DFT, PBE
State: relaxed

The structure belongs to space group P-1 (No. 2); the cell edges are 6.7296, 6.7824 and 7.0737 Å and the angles 69.72°, 61.72° and 88.26°. Symmetry generates all atoms from Ta at (0.0000, 0.0000, 0.0000), Te at (0.1933, 0.4220, 0.8634), Te at (0.2864, 0.0641, 0.5381), Te at (0.2943, 0.8239, 0.1482) and Au at (0.5000, 0.5000, 0.0000).

The calculation puts the total magnetic moment at 0.00 μB/cell. Its energy is -4.29 eV/atom. The calculation puts the raw formation energy at -0.04 eV/atom. As for the crystal system: triclinic.


[2]
Material: TaTe2Au
Method: DFT, PBE
State: relaxed

The structure belongs to space group Pmmm (No. 47); the cell edges are 3.4369, 4.8161 and 5.3095 Å and the angles 90.00°, 90.00° and 90.00°. Symmetry generates all atoms from Ta at (0.0000, 0.0000, 0.0000), Te at (0.0000, 0.5000, 0.5000), Te at (0.5000, 0.5000, 0.0000) and Au at (0.5000, 0.0000, 0.5000).

The calculation puts the total magnetic moment at 0.00 μB/cell. Its energy is -4.79 eV/atom. The calculation puts the raw formation energy at 0.57 eV/atom. As for the crystal system: orthorhombic.


[3]
Material: TaTe2Au
Method: DFT, PBE
State: relaxed

The structure belongs to space group Amm2 (No. 38); the cell edges are 4.0760, 3.8100 and 12.5161 Å and the angles 90.00°, 90.00° and 90.00°. Symmetry generates all atoms from Ta at (0.0000, 0.0000, 0.0000), Te at (0.0000, 0.0000, 0.3299), Te at (0.5000, 0.0000, 0.5974) and Au at (0.5000, 0.0000, 0.8430).

The calculation puts the total magnetic moment at 0.00 μB/cell. Its energy is -5.33 eV/atom. The calculation puts the raw formation energy at 0.03 eV/atom. As for the crystal system: orthorhombic.


[4]
Material: TaTeAu2
Method: DFT, PBE
State: relaxed

The structure belongs to space group Pmmm (No. 47); the cell edges are 3.3877, 4.6399 and 5.0068 Å and the angles 90.00°, 90.00° and 90.00°. Symmetry generates all atoms from Ta at (0.0000, 0.0000, 0.0000), Te at (0.5000, 0.5000, 0.0000), Au at (0.0000, 0.5000, 0.5000) and Au at (0.5000, 0.0000, 0.5000).

The calculation puts the total magnetic moment at 0.00 μB/cell. Its energy is -5.07 eV/atom. The calculation puts the raw formation energy at 0.32 eV/atom. As for the crystal system: orthorhombic.


[5]
Material: TaTeAu2
Method: DFT, PBE
State: relaxed

The structure belongs to space group Cm (No. 8); the cell edges are 10.1465, 3.4271 and 5.5235 Å and the angles 90.00°, 117.78° and 90.00°. Symmetry generates all atoms from Ta at (0.0000, 0.0000, 0.0000), Te at (0.2160, 0.5000, 0.0131), Au at (0.0395, 0.5000, 0.4310) and Au at (0.3039, 0.0000, 0.5926).

The calculation puts the total magnetic moment at 0.00 μB/cell. Its energy is -5.27 eV/atom. The calculation puts the raw formation energy at 0.11 eV/atom. As for the crystal system: monoclinic.


[6]
Material: TaTe2Au
Method: DFT, PBE
State: relaxed

The structure belongs to space group P4mm (No. 99); the cell edges are 3.2618, 3.2618 and 9.2452 Å and the angles 90.00°, 90.00° and 90.00°. Symmetry generates all atoms from Ta at (0.0000, 0.0000, 0.0000), Te at (0.0000, 0.0000, 0.5568), Te at (0.5000, 0.5000, 0.1816) and Au at (0.5000, 0.5000, 0.8025).

The calculation puts the total magnetic moment at 0.00 μB/cell. Its energy is -5.28 eV/atom. The calculation puts the raw formation energy at 0.08 eV/atom. As for the crystal system: tetragonal.


[7]
Material: TaTeAu2
Method: DFT, PBE
State: relaxed

The structure belongs to space group P4/mmm (No. 123); the cell edges are 3.0254, 3.0254 and 9.2842 Å and the angles 90.00°, 90.00° and 90.00°. Symmetry generates all atoms from Ta at (0.0000, 0.0000, 0.0000), Te at (0.0000, 0.0000, 0.5000) and Au at (0.5000, 0.5000, 0.2070).

The calculation puts the total magnetic moment at 0.00 μB/cell. Its energy is -5.26 eV/atom. The calculation puts the raw formation energy at 0.13 eV/atom. As for the crystal system: tetragonal.


[8]
Material: TaTeAu
Method: DFT, PBE
State: relaxed

The structure belongs to space group P3m1 (No. 156); the cell edges are 3.3972, 3.3972 and 6.8327 Å and the angles 90.00°, 90.00° and 120.00°. Symmetry generates all atoms from Ta at (0.0000, 0.0000, 0.0000), Te at (0.3333, 0.6667, 0.2868) and Au at (0.6667, 0.3333, 0.7049).

The calculation puts the total magnetic moment at 0.00 μB/cell. Its energy is -5.97 eV/atom. The calculation puts the raw formation energy at 0.12 eV/atom. As for the crystal system: trigonal.


[9]
Material: TaTe2Au
Method: DFT, PBE
State: relaxed

The structure belongs to space group Imm2 (No. 44); the cell edges are 3.5500, 3.8220 and 14.3041 Å and the angles 90.00°, 90.00° and 90.00°. Symmetry generates all atoms from Ta at (0.0000, 0.0000, 0.0000), Te at (0.0000, 0.0000, 0.4168), Te at (0.0000, 0.5000, 0.6490) and Au at (0.0000, 0.5000, 0.2590).

The calculation puts the total magnetic moment at 0.00 μB/cell. Its energy is -5.17 eV/atom. The calculation puts the raw formation energy at 0.19 eV/atom. As for the crystal system: orthorhombic.


[10]
Material: TaTeAu
Method: DFT, PBE
State: relaxed

The structure belongs to space group I4mm (No. 107); the cell edges are 3.3891, 3.3891 and 10.6464 Å and the angles 90.00°, 90.00° and 90.00°. Symmetry generates all atoms from Ta at (0.0000, 0.0000, 0.0000), Te at (0.0000, 0.0000, 0.3526) and Au at (0.0000, 0.0000, 0.6618).

The calculation puts the total magnetic moment at 0.00 μB/cell. Its energy is -5.95 eV/atom. The calculation puts the raw formation energy at 0.14 eV/atom. As for the crystal system: tetragonal.


[11]
Material: Ta2TeAu
Method: DFT, PBE
State: relaxed

The structure belongs to space group Immm (No. 71); the cell edges are 3.4988, 4.8176 and 9.1476 Å and the angles 90.00°, 90.00° and 90.00°. Symmetry generates all atoms from Ta at (0.0000, 0.0000, 0.2421), Te at (0.0000, 0.5000, 0.5000) and Au at (0.0000, 0.5000, 0.0000).

The calculation puts the total magnetic moment at 0.00 μB/cell. Its energy is -7.25 eV/atom. The calculation puts the raw formation energy at 0.28 eV/atom. As for the crystal system: orthorhombic.


[12]
Material: Ta2TeAu
Method: DFT, PBE
State: relaxed

The structure belongs to space group Cmm2 (No. 35); the cell edges are 3.6883, 4.8755 and 9.3910 Å and the angles 90.00°, 90.00° and 90.00°. Symmetry generates all atoms from Ta at (0.0000, 0.0000, 0.0000), Ta at (0.0000, 0.5000, 0.2213), Te at (0.0000, 0.0000, 0.4574) and Au at (0.0000, 0.5000, 0.7807).

The calculation puts the total magnetic moment at 0.00 μB/cell. Its energy is -7.39 eV/atom. The calculation puts the raw formation energy at 0.14 eV/atom. As for the crystal system: orthorhombic.